--- i ---
A geometry-optimized Tl3Cu2F7 structure. Source: Alexandria, functional PBE.

Cell and atoms, written as POSCAR:
```
Tl3Cu2F7
1.0
4.133 0.000 0.000
0.000 4.138 -0.615
0.000 -0.393 11.594
F Cu Tl
7 2 3
Cartesian
0.000 0.000 0.000
0.000 0.593 3.992
0.000 3.152 6.987
0.000 1.367 9.208
2.066 0.308 2.075
2.066 3.437 8.904
0.000 2.378 1.772
0.000 3.442 8.935
0.000 0.304 2.044
2.066 1.071 7.214
2.066 2.069 -0.307
2.066 2.674 3.765
```

Properties
Space group: Cmmm, No. 65

=====

--- ii ---
A geometry-optimized Tl3Cu2F7 structure. Source: Alexandria, functional PBE.

Cell and atoms, written as POSCAR:
```
Tl3Cu2F7
1.0
-3.103 0.706 -2.709
-2.552 -2.376 2.304
-0.227 9.765 6.029
Tl Cu F
3 2 7
Cartesian
-2.828 -0.835 -0.203
-1.927 5.632 3.675
-3.956 2.462 1.949
-5.316 6.439 4.544
-0.566 1.656 1.080
-1.850 0.491 2.248
-1.112 3.251 2.121
-4.032 7.603 3.377
-2.126 2.032 -0.259
0.000 0.000 0.000
-3.756 6.062 5.883
-4.770 4.844 3.503
```

Properties
Space group: I4/mmm, No. 139

=====

Which one is the least stable? From the structures above, i.